LaMn4O8 | PBE+U | relaxed

a b c (Å): 10.0405 5.9795 7.5990
angles (deg): 90.00 130.64 90.00
Space group C2/m (No. 12)
Unique sites:
La 0.0000 0.0000 0.0000 x2
Mn 0.0000 0.2568 0.5000 x4
Mn 0.2325 0.5000 0.4633 x4
O 0.0091 0.0000 0.3340 x4
O 0.0087 0.5000 0.6850 x4
O 0.2412 0.2349 0.3133 x8

Calculated values
D(E_F) (states/eV/atom): 0.267
Electronic total energy (eV/cell): -190.59